Ce2Ga4Ir3Pd, optimized geometry, DFT PBE-GGA; formation energy from the elements = -713 meV/atom; energy = -62.877 eV for the cell shown; D(E_F) = 12.8 states/eV per cell
1.0
4.200 0.000 0.000
0.000 4.200 0.000
0.000 0.000 10.629
Ce Ga Ir Pd
2 4 3 1
Cartesian
2.100 0.000 2.598
0.000 2.100 8.031
2.100 2.100 0.000
0.000 0.000 0.000
2.100 0.000 6.688
0.000 2.100 3.941
0.000 0.000 5.315
2.100 0.000 9.164
0.000 2.100 1.465
2.100 2.100 5.315